No. 1
Computed, not measured: a relaxed structure of Lu2MnAu at the PBE level of DFT.

Results
Energy of formation (eV/f.u.): -1.18
Energy above the lowest structure with this stoichiometry (eV per atom): 0.078
Density of states at the Fermi level (states/eV/f.u.): 5.16
DFT total energy (eV per formula unit): -22.67

Lattice parameters (Å, degrees): 7.008 7.008 7.008 90.00 90.00 90.00
Space group Fm-3m (No. 225)
Symmetry-distinct sites (fractional):
Lu: 0.250 0.250 0.250 [8 per cell]
Mn: 0.000 0.000 0.000 [4 per cell]
Au: 0.000 0.000 0.500 [4 per cell]

No. 2
Computed, not measured: a relaxed structure of LuMnPdAu at the PBE level of DFT.

Results
Energy of formation (eV/f.u.): -2.11
Density of states at the Fermi level (states/eV/f.u.): 2.55
DFT total energy (eV per formula unit): -24.27

Lattice parameters (Å, degrees): 6.668 6.668 6.668 90.00 90.00 90.00
Space group F-43m (No. 216)
Symmetry-distinct sites (fractional):
Lu: 0.000 0.000 0.000 [4 per cell]
Mn: 0.000 0.000 0.500 [4 per cell]
Pd: 0.250 0.250 0.250 [4 per cell]
Au: 0.250 0.250 0.750 [4 per cell]

No. 3
Computed, not measured: a relaxed structure of LuMnPtAu at the PBE level of DFT.

Results
Energy of formation (eV/f.u.): -2.56
Density of states at the Fermi level (states/eV/f.u.): 2.37
DFT total energy (eV per formula unit): -25.57

Lattice parameters (Å, degrees): 6.666 6.666 6.666 90.00 90.00 90.00
Space group F-43m (No. 216)
Symmetry-distinct sites (fractional):
Lu: 0.000 0.000 0.000 [4 per cell]
Mn: 0.000 0.000 0.500 [4 per cell]
Pt: 0.250 0.250 0.750 [4 per cell]
Au: 0.250 0.250 0.250 [4 per cell]

Number 1 is which compound?
Lu2MnAu

The highest energy of formation belongs to which entry?
Lu2MnAu

energy of formation of number 3 (LuMnPtAu)?
-2.56 eV/f.u.

What did the third record say?
Computed, not measured: a relaxed structure of LuMnPtAu at the PBE level of DFT.

Results
Energy of formation (eV/f.u.): -2.56
Density of states at the Fermi level (states/eV/f.u.): 2.37
DFT total energy (eV per formula unit): -25.57

Lattice parameters (Å, degrees): 6.666 6.666 6.666 90.00 90.00 90.00
Space group F-43m (No. 216)
Symmetry-distinct sites (fractional):
Lu: 0.000 0.000 0.000 [4 per cell]
Mn: 0.000 0.000 0.500 [4 per cell]
Pt: 0.250 0.250 0.750 [4 per cell]
Au: 0.250 0.250 0.250 [4 per cell]